Density functional theory data (PBE-GGA) for a relaxed P2RuPb crystal.

Calculated values
ρ = 8.126 Mg/m³
ΔH_f (0 K) = 0.053 eV per atom
final energy = -5.8978 eV/atom

Cell lengths 8.9039, 8.9039, 8.9039 Å; angles 20.48, 20.48, 20.48 degrees
Last column: nearest neighbours and their distance in Å.
Atoms (fractional coordinates):
1 P 0.0216 0.0216 0.0216  3 Ru 2.44
2 Ru 0.7500 0.7500 0.7500  6 P 2.44
3 Pb 0.2500 0.2500 0.2500  6 Pb 3.17, 6 P 3.30
4 P 0.4784 0.4784 0.4784  3 Ru 2.44